[1]
Material: ZrPAuO2
Method: DFT, PBE
State: relaxed

a = 3.9926 Å, b = 3.9926 Å, c = 5.8266 Å
α = 90.00°, β = 90.00°, γ = 90.00°
With the nearest neighbours (Å) after each atom.
Positions (direct):
Au 0.5000 0.5000 0.5000  4 P 2.82
O 0.0000 0.5000 0.0000  2 Zr 2.00
O 0.5000 0.0000 0.0000  2 Zr 2.00
P 0.0000 0.0000 0.5000  4 Au 2.82, 2 Zr 2.91
Zr 0.0000 0.0000 0.0000  4 O 2.00

Computed properties:
distance to the lowest polymorph of the same formula: 0.000 eV/atom
E_form (uncorrected): -1.096 eV/atom
raw total energy: -6.5265 eV per atom

---

[2]
Material: ZrPAuO2
Method: DFT, PBE
State: relaxed

a = 4.0789 Å, b = 4.0789 Å, c = 4.7683 Å
α = 90.00°, β = 90.00°, γ = 90.00°
With the nearest neighbours (Å) after each atom.
Positions (direct):
O 0.5000 0.0000 0.0000  2 Au 2.04
O 0.0000 0.5000 0.0000  2 Au 2.04
Au 0.0000 0.0000 0.0000  4 O 2.04
Zr 0.5000 0.5000 0.5000  4 P 2.88, 8 O 3.14
P 0.0000 0.0000 0.5000  2 Au 2.38

Computed properties:
distance to the lowest polymorph of the same formula: 1.052 eV/atom
E_form (uncorrected): -0.044 eV/atom
raw total energy: -5.4743 eV per atom

---

> Look up the E_form (uncorrected) of the second one.

-0.044 eV/atom

---

> What is the formula in the second record?

ZrPAuO2

---

> Among the records above, which one has the highest distance to the lowest polymorph of the same formula?

number 2